1.
# La3CuTe

La3CuTe at its PBEsol-relaxed geometry (SCAN, Alexandria).

Cell and atoms, written as CIF:
```
data_La3CuTe
_chemical_formula_sum 'La3 Cu1 Te1'
_cell_length_a 5.436
_cell_length_b 5.436
_cell_length_c 5.436
_cell_angle_alpha 90.00
_cell_angle_beta 90.00
_cell_angle_gamma 90.00
_symmetry_space_group_name_H-M 'P m -3 m'
_symmetry_Int_Tables_number 221
_symmetry_space_group_name_Hall '-P 4 2 3'
loop_
_atom_site_label
_atom_site_type_symbol
_atom_site_fract_x
_atom_site_fract_y
_atom_site_fract_z
La1 La 0.000 0.000 0.500
Cu1 Cu 0.000 0.000 0.000
Te1 Te 0.500 0.500 0.500
```

## Properties
As for the raw formation energy: -375 meV/atom. Its energy relative to the lowest polymorph listed for this composition is 0 meV/atom.

=====

2.
# CrGaSb2Rh

CrGaSb2Rh at its PBEsol-relaxed geometry (SCAN, Alexandria).

Cell and atoms, written as CIF:
```
data_CrGaSb2Rh
_chemical_formula_sum 'Cr1 Ga1 Sb2 Rh1'
_cell_length_a 5.121
_cell_length_b 5.121
_cell_length_c 4.514
_cell_angle_alpha 90.00
_cell_angle_beta 90.00
_cell_angle_gamma 90.00
_symmetry_space_group_name_H-M 'P 4/m m m'
_symmetry_Int_Tables_number 123
_symmetry_space_group_name_Hall '-P 4 2'
loop_
_atom_site_label
_atom_site_type_symbol
_atom_site_fract_x
_atom_site_fract_y
_atom_site_fract_z
Cr1 Cr 0.000 0.000 0.000
Ga1 Ga 0.500 0.500 0.500
Sb1 Sb 0.000 0.500 0.500
Rh1 Rh 0.500 0.500 0.000
```

## Properties
As for the raw formation energy: 747 meV/atom.

=====

3.
# BaFeCu2

BaFeCu2 at its PBEsol-relaxed geometry (SCAN, Alexandria).

Cell and atoms, written as CIF:
```
data_BaFeCu2
_chemical_formula_sum 'Ba1 Fe1 Cu2'
_cell_length_a 3.160
_cell_length_b 3.160
_cell_length_c 7.185
_cell_angle_alpha 90.00
_cell_angle_beta 90.00
_cell_angle_gamma 90.00
_symmetry_space_group_name_H-M 'P 4/m m m'
_symmetry_Int_Tables_number 123
_symmetry_space_group_name_Hall '-P 4 2'
loop_
_atom_site_label
_atom_site_type_symbol
_atom_site_fract_x
_atom_site_fract_y
_atom_site_fract_z
Ba1 Ba 0.000 0.000 0.000
Fe1 Fe 0.000 0.000 0.500
Cu1 Cu 0.500 0.500 0.333
```

## Properties
The total energy comes out at -21.605 eV/atom.

=====

4.
# BeTeIr3

BeTeIr3 at its PBEsol-relaxed geometry (SCAN, Alexandria).

Cell and atoms, written as CIF:
```
data_BeTeIr3
_chemical_formula_sum 'Be1 Te1 Ir3'
_cell_length_a 4.766
_cell_length_b 4.766
_cell_length_c 4.766
_cell_angle_alpha 90.00
_cell_angle_beta 90.00
_cell_angle_gamma 90.00
_symmetry_space_group_name_H-M 'P m -3 m'
_symmetry_Int_Tables_number 221
_symmetry_space_group_name_Hall '-P 4 2 3'
loop_
_atom_site_label
_atom_site_type_symbol
_atom_site_fract_x
_atom_site_fract_y
_atom_site_fract_z
Be1 Be 0.000 0.000 0.000
Te1 Te 0.500 0.500 0.500
Ir1 Ir 0.000 0.500 0.500
```

## Properties
As for the raw formation energy: 2102 meV/atom.